Density functional theory data (PBE) for a relaxed structure of PbNCl2.

The calculation puts the polymorph energy (0 for the lowest one) at 0.00 eV/f.u. The calculation puts the uncorrected formation energy at 0.44 eV/atom. For the density of states at the Fermi level, the calculation gives 0.00 states/eV/cell.

It has space group C2/m (No. 12), with a = 14.398 Å, b = 4.420 Å, c = 7.880 Å, α = 90.00°, β = 96.97° and γ = 90.00°. The asymmetric unit holds Pb at (0.225, 0.000, 0.234), N at (0.025, 0.000, 0.244), Cl at (0.144, 0.500, 0.004) and Cl at (0.168, 0.000, 0.607).